A) Below is crystalline Pm2SmAg6 at its relaxed geometry, with properties calculated at the GGA-PBE level.

Values from the calculation:
**V**: 214.8 Å³/f.u.

Lattice parameters (Å, degrees): 8.662 8.662 8.662 156.11 124.81 60.98
Atoms (fractional coordinates):
Pm: 0.142 0.142 0.000
Pm: 0.858 0.858 0.000
Sm: 0.500 0.000 0.500
Ag: 0.147 0.326 0.822
Ag: 0.182 0.500 0.682
Ag: 0.496 0.674 0.822
Ag: 0.504 0.326 0.178
Ag: 0.818 0.500 0.318
Ag: 0.853 0.674 0.178



B) Below is crystalline Pm2SmAg6 at its relaxed geometry, with properties calculated at the GGA-PBE level.

Values from the calculation:
**V**: 211.6 Å³/f.u.

Lattice parameters (Å, degrees): 8.309 8.309 3.539 90.00 90.00 120.00
Atoms (fractional coordinates):
Pm: 0.333 0.667 0.000
Pm: 0.667 0.333 0.000
Sm: 0.000 0.000 0.000
Ag: 0.000 0.333 0.500
Ag: 0.000 0.667 0.500
Ag: 0.333 0.000 0.500
Ag: 0.333 0.333 0.500
Ag: 0.667 0.000 0.500
Ag: 0.667 0.667 0.500



Of them, B) has the highest stability.